1.
First-principles (GGA-PBE) data for an optimized crystal structure of Cd2Re4Sn, as listed in OQMD.

Summary:
Volume in Å³ per cell: 182.6
Magnetization in μB per formula unit: 0.00
Total energy in eV/f.u.: -47.653

Unit cell a=4.438 b=4.438 c=10.704 alpha=90.00 beta=90.00 gamma=120.00
Atoms (fractional coordinates):
Cd (0.333, 0.667, 0.233)
Cd (0.667, 0.333, 0.767)
Re (0.667, 0.333, 0.015)
Re (0.333, 0.667, 0.985)
Re (0.667, 0.333, 0.515)
Re (0.333, 0.667, 0.485)
Sn (0.000, 0.000, 0.500)



2.
First-principles (GGA-PBE) data for an optimized crystal structure of TaCdRe2, as listed in OQMD.

Summary:
Volume in Å³ per cell: 66.6
Magnetization in μB per formula unit: 0.00
Total energy in eV/f.u.: -35.517

Unit cell a=4.549 b=4.549 c=4.549 alpha=60.00 beta=60.00 gamma=60.00
Atoms (fractional coordinates):
Re (0.000, 0.000, 0.000)
Re (0.250, 0.250, 0.250)
Cd (0.500, 0.500, 0.500)
Ta (0.750, 0.750, 0.750)



- Which value of magnetization does entry 2 give?
  0.00 μB per formula unit



What did the first record say?
First-principles (GGA-PBE) data for an optimized crystal structure of Cd2Re4Sn, as listed in OQMD.

Summary:
Volume in Å³ per cell: 182.6
Magnetization in μB per formula unit: 0.00
Total energy in eV/f.u.: -47.653

Unit cell a=4.438 b=4.438 c=10.704 alpha=90.00 beta=90.00 gamma=120.00
Atoms (fractional coordinates):
Cd (0.333, 0.667, 0.233)
Cd (0.667, 0.333, 0.767)
Re (0.667, 0.333, 0.015)
Re (0.333, 0.667, 0.985)
Re (0.667, 0.333, 0.515)
Re (0.333, 0.667, 0.485)
Sn (0.000, 0.000, 0.500)